## P
# NaCe2Hg4 PBE relaxed
# * ρ: 8.21 g/cm³
# * spin magnetization: 2.97 μB/f.u.
data_NaCe2Hg4
_chemical_formula_sum 'Na2 Ce4 Hg8'
_cell_length_a 5.2900
_cell_length_b 5.2900
_cell_length_c 15.9798
_cell_angle_alpha 90.00
_cell_angle_beta 90.00
_cell_angle_gamma 90.00
_symmetry_space_group_name_H-M 'I 4/m m m'
_symmetry_Int_Tables_number 139
_symmetry_space_group_name_Hall '-I 4 2'
loop_
_atom_site_label
_atom_site_fract_x
_atom_site_fract_y
_atom_site_fract_z
Na1 0.0000 0.0000 0.0000
Ce1 0.0000 0.0000 0.3803
Hg1 0.0000 0.0000 0.1837
Hg2 0.0000 0.5000 0.0000

---

## Q
# NaCe2Hg4 PBE relaxed
# * ρ: 9.10 g/cm³
# * spin magnetization: 2.19 μB/f.u.
data_NaCe2Hg4
_chemical_formula_sum 'Na3 Ce6 Hg12'
_cell_length_a 5.2153
_cell_length_b 5.2153
_cell_length_c 25.6862
_cell_angle_alpha 90.00
_cell_angle_beta 90.00
_cell_angle_gamma 120.00
_symmetry_space_group_name_H-M 'R -3 m'
_symmetry_Int_Tables_number 166
_symmetry_space_group_name_Hall '-R 3 2"'
loop_
_atom_site_label
_atom_site_fract_x
_atom_site_fract_y
_atom_site_fract_z
Na1 0.0000 0.0000 0.0000
Ce1 0.0000 0.0000 0.2494
Hg1 0.0000 0.0000 0.1266
Hg2 0.0000 0.0000 0.3758

---

It is P that is the least stable of them.

---

## P
# NaCeHg PBE relaxed
# * ρ: 7.60 g/cm³
# * spin magnetization: 0.27 μB/f.u.
data_NaCeHg
_chemical_formula_sum 'Na2 Ce2 Hg2'
_cell_length_a 3.7507
_cell_length_b 3.9921
_cell_length_c 10.6260
_cell_angle_alpha 90.00
_cell_angle_beta 93.09
_cell_angle_gamma 90.00
_symmetry_space_group_name_H-M 'P 1 21/m 1'
_symmetry_Int_Tables_number 11
loop_
_symmetry_equiv_pos_as_xyz
'x,y,z'
'-x,-y,-z'
'-x,y+1/2,-z'
'x,-y+1/2,z'
loop_
_atom_site_label
_atom_site_fract_x
_atom_site_fract_y
_atom_site_fract_z
Na1 0.2344 0.2500 0.4057
Ce1 0.1705 0.2500 0.0678
Hg1 0.2965 0.2500 0.7530

---

## Q
# NaCeHg PBE relaxed
# * ρ: 7.64 g/cm³
# * spin magnetization: 1.14 μB/f.u.
data_NaCeHg
_chemical_formula_sum 'Na1 Ce1 Hg1'
_cell_length_a 5.3197
_cell_length_b 5.3197
_cell_length_c 3.2238
_cell_angle_alpha 90.00
_cell_angle_beta 90.00
_cell_angle_gamma 120.00
_symmetry_space_group_name_H-M 'P 3 m 1'
_symmetry_Int_Tables_number 156
loop_
_symmetry_equiv_pos_as_xyz
'x,y,z'
'-y,x-y,z'
'-x+y,-x,z'
'-y,-x,z'
'-x+y,y,z'
'x,x-y,z'
loop_
_atom_site_label
_atom_site_fract_x
_atom_site_fract_y
_atom_site_fract_z
Na1 0.0000 0.0000 0.0000
Ce1 0.3333 0.6667 0.5025
Hg1 0.6667 0.3333 0.0040

---

It is Q that is the least stable of them.

---

## P
# NaCeHg4 PBE relaxed
# * ρ: 10.22 g/cm³
# * spin magnetization: 1.78 μB/f.u.
data_NaCeHg4
_chemical_formula_sum 'Na4 Ce4 Hg16'
_cell_length_a 8.5625
_cell_length_b 8.5625
_cell_length_c 8.5625
_cell_angle_alpha 90.00
_cell_angle_beta 90.00
_cell_angle_gamma 90.00
_symmetry_space_group_name_H-M 'F -4 3 m'
_symmetry_Int_Tables_number 216
_symmetry_space_group_name_Hall 'F -4 2 3'
loop_
_atom_site_label
_atom_site_fract_x
_atom_site_fract_y
_atom_site_fract_z
Na1 0.0000 0.0000 0.0000
Ce1 0.2500 0.2500 0.2500
Hg1 0.1250 0.1250 0.6250

---

## Q
# NaCeHg4 PBE relaxed
# * ρ: 10.66 g/cm³
# * spin magnetization: 1.31 μB/f.u.
data_NaCeHg4
_chemical_formula_sum 'Na1 Ce1 Hg4'
_cell_length_a 3.2896
_cell_length_b 5.1029
_cell_length_c 8.9563
_cell_angle_alpha 90.00
_cell_angle_beta 90.10
_cell_angle_gamma 90.00
_symmetry_space_group_name_H-M 'P 1 2/m 1'
_symmetry_Int_Tables_number 10
loop_
_symmetry_equiv_pos_as_xyz
'x,y,z'
'-x,-y,-z'
'-x,y,-z'
'x,-y,z'
loop_
_atom_site_label
_atom_site_fract_x
_atom_site_fract_y
_atom_site_fract_z
Na1 0.0000 0.0000 0.0000
Ce1 0.0000 0.5000 0.5000
Hg1 0.4981 0.0000 0.3308
Hg2 0.4992 0.5000 0.1612

---

## R
# NaCeHg4 PBE relaxed
# * ρ: 10.27 g/cm³
# * spin magnetization: 1.26 μB/f.u.
data_NaCeHg4
_chemical_formula_sum 'Na2 Ce2 Hg8'
_cell_length_a 4.8967
_cell_length_b 8.6970
_cell_length_c 7.7231
_cell_angle_alpha 90.00
_cell_angle_beta 108.36
_cell_angle_gamma 90.00
_symmetry_space_group_name_H-M 'P 1 21/m 1'
_symmetry_Int_Tables_number 11
loop_
_symmetry_equiv_pos_as_xyz
'x,y,z'
'-x,-y,-z'
'-x,y+1/2,-z'
'x,-y+1/2,z'
loop_
_atom_site_label
_atom_site_fract_x
_atom_site_fract_y
_atom_site_fract_z
Na1 0.1493 0.2500 0.2980
Ce1 0.1644 0.7500 0.3290
Hg1 0.0000 0.0000 0.0000
Hg2 0.3321 0.5030 0.6642
Hg3 0.4971 0.2500 0.9939

---

It is P that is the least stable of them.

---

## P
# Ce2NbHg PBE relaxed
# * ρ: 10.07 g/cm³
# * spin magnetization: 0.00 μB/f.u.
data_Ce2NbHg
_chemical_formula_sum 'Ce2 Nb1 Hg1'
_cell_length_a 3.0740
_cell_length_b 3.0740
_cell_length_c 10.0086
_cell_angle_alpha 90.00
_cell_angle_beta 90.00
_cell_angle_gamma 90.00
_symmetry_space_group_name_H-M 'P 4/m m m'
_symmetry_Int_Tables_number 123
_symmetry_space_group_name_Hall '-P 4 2'
loop_
_atom_site_label
_atom_site_fract_x
_atom_site_fract_y
_atom_site_fract_z
Ce1 0.0000 0.0000 0.2432
Nb1 0.5000 0.5000 0.0000
Hg1 0.5000 0.5000 0.5000

---

## Q
# Ce2NbHg PBE relaxed
# * ρ: 10.10 g/cm³
# * spin magnetization: 0.00 μB/f.u.
data_Ce2NbHg
_chemical_formula_sum 'Ce6 Nb3 Hg3'
_cell_length_a 3.0824
_cell_length_b 3.0824
_cell_length_c 34.3975
_cell_angle_alpha 90.00
_cell_angle_beta 90.00
_cell_angle_gamma 120.00
_symmetry_space_group_name_H-M 'R -3 m'
_symmetry_Int_Tables_number 166
_symmetry_space_group_name_Hall '-R 3 2"'
loop_
_atom_site_label
_atom_site_fract_x
_atom_site_fract_y
_atom_site_fract_z
Ce1 0.0000 0.0000 0.0824
Nb1 0.0000 0.0000 0.0000
Hg1 0.0000 0.0000 0.5000

---

It is Q that is the least stable of them.

---

## P
# CeNdHg3 PBE relaxed
# * ρ: 9.88 g/cm³
# * spin magnetization: 1.26 μB/f.u.
data_CeNdHg3
_chemical_formula_sum 'Ce4 Nd4 Hg12'
_cell_length_a 8.0023
_cell_length_b 12.3845
_cell_length_c 6.0106
_cell_angle_alpha 90.00
_cell_angle_beta 90.00
_cell_angle_gamma 90.00
_symmetry_space_group_name_H-M 'C m c m'
_symmetry_Int_Tables_number 63
_symmetry_space_group_name_Hall '-C 2c 2'
loop_
_atom_site_label
_atom_site_fract_x
_atom_site_fract_y
_atom_site_fract_z
Ce1 0.0000 0.0000 0.0000
Nd1 0.0000 0.3319 0.2500
Hg1 0.0000 0.2179 0.7500
Hg2 0.1829 0.4246 0.7500

---

## Q
# CeNdHg3 PBE relaxed
# * ρ: 11.07 g/cm³
# * spin magnetization: 1.33 μB/f.u.
data_CeNdHg3
_chemical_formula_sum 'Ce4 Nd4 Hg12'
_cell_length_a 3.5150
_cell_length_b 30.0974
_cell_length_c 5.0238
_cell_angle_alpha 90.00
_cell_angle_beta 90.00
_cell_angle_gamma 90.00
_symmetry_space_group_name_H-M 'C m c m'
_symmetry_Int_Tables_number 63
_symmetry_space_group_name_Hall '-C 2c 2'
loop_
_atom_site_label
_atom_site_fract_x
_atom_site_fract_y
_atom_site_fract_z
Ce1 0.0000 0.2135 0.2500
Nd1 0.0000 0.0737 0.7500
Hg1 0.0000 0.3244 0.2500
Hg2 0.0000 0.3794 0.7500
Hg3 0.0000 0.4762 0.7500

---

It is P that is the least stable of them.

---

## P
# CeNd2Hg8 PBE relaxed
# * ρ: 11.79 g/cm³
# * spin magnetization: 1.08 μB/f.u.
data_CeNd2Hg8
_chemical_formula_sum 'Ce2 Nd4 Hg16'
_cell_length_a 16.2288
_cell_length_b 5.1126
_cell_length_c 7.3589
_cell_angle_alpha 90.00
_cell_angle_beta 110.25
_cell_angle_gamma 90.00
_symmetry_space_group_name_H-M 'C 1 2/m 1'
_symmetry_Int_Tables_number 12
loop_
_symmetry_equiv_pos_as_xyz
'x,y,z'
'-x,-y,-z'
'-x,y,-z'
'x,-y,z'
'x+1/2,y+1/2,z'
'-x+1/2,-y+1/2,-z'
'-x+1/2,y+1/2,-z'
'x+1/2,-y+1/2,z'
loop_
_atom_site_label
_atom_site_fract_x
_atom_site_fract_y
_atom_site_fract_z
Ce1 0.0000 0.0000 0.0000
Nd1 0.2078 0.5000 0.6497
Hg1 0.0200 0.5000 0.7274
Hg2 0.0935 0.0000 0.4584
Hg3 0.1517 0.5000 0.1683
Hg4 0.1726 0.0000 0.9001

---

## Q
# CeNd2Hg8 PBE relaxed
# * ρ: 11.51 g/cm³
# * spin magnetization: 1.06 μB/f.u.
data_CeNd2Hg8
_chemical_formula_sum 'Ce2 Nd4 Hg16'
_cell_length_a 5.2680
_cell_length_b 7.3619
_cell_length_c 15.1296
_cell_angle_alpha 90.00
_cell_angle_beta 90.00
_cell_angle_gamma 90.00
_symmetry_space_group_name_H-M 'I m m m'
_symmetry_Int_Tables_number 71
_symmetry_space_group_name_Hall '-I 2 2'
loop_
_atom_site_label
_atom_site_fract_x
_atom_site_fract_y
_atom_site_fract_z
Ce1 0.0000 0.0000 0.0000
Nd1 0.0000 0.0000 0.3101
Hg1 0.0000 0.2120 0.5000
Hg2 0.0000 0.2860 0.1496
Hg3 0.0000 0.5000 0.3429

---

It is Q that is the least stable of them.

---

## P
# CeNdHg2 PBE relaxed
# * ρ: 10.09 g/cm³
# * spin magnetization: 1.78 μB/f.u.
data_CeNdHg2
_chemical_formula_sum 'Ce1 Nd1 Hg2'
_cell_length_a 3.8218
_cell_length_b 3.8218
_cell_length_c 7.7234
_cell_angle_alpha 90.00
_cell_angle_beta 90.00
_cell_angle_gamma 90.00
_symmetry_space_group_name_H-M 'P 4/m m m'
_symmetry_Int_Tables_number 123
_symmetry_space_group_name_Hall '-P 4 2'
loop_
_atom_site_label
_atom_site_fract_x
_atom_site_fract_y
_atom_site_fract_z
Ce1 0.0000 0.0000 0.0000
Nd1 0.0000 0.0000 0.5000
Hg1 0.5000 0.5000 0.2505

---

## Q
# CeNdHg2 PBE relaxed
# * ρ: 9.55 g/cm³
# * spin magnetization: 1.26 μB/f.u.
data_CeNdHg2
_chemical_formula_sum 'Ce3 Nd3 Hg6'
_cell_length_a 3.7252
_cell_length_b 3.7252
_cell_length_c 29.7658
_cell_angle_alpha 90.00
_cell_angle_beta 90.00
_cell_angle_gamma 120.00
_symmetry_space_group_name_H-M 'R -3 m'
_symmetry_Int_Tables_number 166
_symmetry_space_group_name_Hall '-R 3 2"'
loop_
_atom_site_label
_atom_site_fract_x
_atom_site_fract_y
_atom_site_fract_z
Ce1 0.0000 0.0000 0.0000
Nd1 0.0000 0.0000 0.5000
Hg1 0.0000 0.0000 0.2495

---

It is Q that is the least stable of them.

---

## P
# CeNdTlHg PBE relaxed
# * ρ: 9.82 g/cm³
# * spin magnetization: 2.04 μB/f.u.
data_CeNdTlHg
_chemical_formula_sum 'Ce4 Nd4 Tl4 Hg4'
_cell_length_a 7.7543
_cell_length_b 7.7543
_cell_length_c 7.7543
_cell_angle_alpha 90.00
_cell_angle_beta 90.00
_cell_angle_gamma 90.00
_symmetry_space_group_name_H-M 'F -4 3 m'
_symmetry_Int_Tables_number 216
_symmetry_space_group_name_Hall 'F -4 2 3'
loop_
_atom_site_label
_atom_site_fract_x
_atom_site_fract_y
_atom_site_fract_z
Ce1 0.0000 0.0000 0.0000
Nd1 0.0000 0.0000 0.5000
Tl1 0.2500 0.2500 0.7500
Hg1 0.2500 0.2500 0.2500

---

## Q
# CeNdTlHg PBE relaxed
# * ρ: 10.05 g/cm³
# * spin magnetization: 1.08 μB/f.u.
data_CeNdTlHg
_chemical_formula_sum 'Ce1 Nd1 Tl1 Hg1'
_cell_length_a 3.6037
_cell_length_b 3.6037
_cell_length_c 8.7687
_cell_angle_alpha 90.00
_cell_angle_beta 90.00
_cell_angle_gamma 90.00
_symmetry_space_group_name_H-M 'P 4 m m'
_symmetry_Int_Tables_number 99
loop_
_symmetry_equiv_pos_as_xyz
'x,y,z'
'-y,x,z'
'-x,-y,z'
'y,-x,z'
'-x,y,z'
'y,x,z'
'x,-y,z'
'-y,-x,z'
loop_
_atom_site_label
_atom_site_fract_x
_atom_site_fract_y
_atom_site_fract_z
Ce1 0.0000 0.0000 0.0000
Nd1 0.0000 0.0000 0.5124
Tl1 0.5000 0.5000 0.2566
Hg1 0.5000 0.5000 0.7568

---

It is P that is the least stable of them.